1.
The following is a PBE-GGA calculation of an optimized crystal structure of CaY2BiTe, from the Alexandria database.

a b c (Å): 5.898 5.351 5.898
angles (deg): 90.00 90.00 90.00
Fractional coordinates of all 5 atoms:
1 Te 0.000 0.500 0.000
2 Bi 0.500 0.500 0.500
3 Ca 0.000 0.000 0.000
4 Y 0.000 0.000 0.500
5 Y 0.500 0.000 0.000

## Properties
formation energy (no corrections): 495 meV/atom
calculated density: 4.9 g/cm³
symmetry: P4/mmm

***

2.
The following is a PBE-GGA calculation of an optimized crystal structure of Ca5ThBi5, from the Alexandria database.

a b c (Å): 6.442 8.220 9.053
angles (deg): 106.21 90.00 113.07
Fractional coordinates of all 11 atoms:
1 Ca 0.000 0.000 0.500
2 Ca 0.319 0.637 0.141
3 Ca 0.320 0.639 0.677
4 Ca 0.681 0.363 0.859
5 Ca 0.680 0.361 0.323
6 Bi 0.162 0.325 0.335
7 Bi 0.500 0.000 0.000
8 Bi 0.846 0.692 0.179
9 Bi 0.154 0.308 0.821
10 Bi 0.838 0.675 0.665
11 Th 0.000 0.000 0.000

## Properties
DFT total energy: -4.0368 eV/atom
calculated density: 5.8 g/cm³
symmetry: C2/m

***

3.
The following is a PBE-GGA calculation of an optimized crystal structure of CaTh2Bi4, from the Alexandria database.

a b c (Å): 8.404 8.404 8.404
angles (deg): 110.78 106.88 110.78
Fractional coordinates of all 14 atoms:
1 Ca 0.000 0.000 0.000
2 Ca 0.750 0.500 0.250
3 Bi 0.785 0.259 0.873
4 Bi 0.623 0.759 0.035
5 Bi 0.136 0.412 0.377
6 Bi 0.275 0.241 0.864
7 Bi 0.614 0.741 0.525
8 Bi 0.127 0.912 0.386
9 Bi 0.965 0.588 0.725
10 Bi 0.475 0.088 0.215
11 Th 0.875 0.127 0.502
12 Th 0.498 0.373 0.625
13 Th 0.252 0.627 0.125
14 Th 0.375 0.873 0.748

## Properties
DFT total energy: -5.2106 eV/atom
calculated density: 9.8 g/cm³
symmetry: I-42d

***

4.
The following is a PBE-GGA calculation of an optimized crystal structure of CaTh5Bi8, from the Alexandria database.

a b c (Å): 8.382 8.382 8.382
angles (deg): 109.92 108.58 109.92
Fractional coordinates of all 14 atoms:
1 Bi 0.621 0.907 0.872
2 Bi 0.775 0.244 0.364
3 Bi 0.469 0.590 0.225
4 Bi 0.120 0.756 0.531
5 Bi 0.287 0.252 0.379
6 Bi 0.965 0.093 0.713
7 Bi 0.128 0.748 0.035
8 Bi 0.636 0.410 0.880
9 Th 0.500 0.000 0.500
10 Th 0.369 0.125 0.996
11 Th 0.004 0.373 0.129
12 Th 0.871 0.875 0.244
13 Th 0.756 0.627 0.631
14 Ca 0.250 0.500 0.750

## Properties
DFT total energy: -5.6218 eV/atom
calculated density: 10.5 g/cm³
symmetry: I-4

***

5.
The following is a PBE-GGA calculation of an optimized crystal structure of CaThBi, from the Alexandria database.

a b c (Å): 4.746 4.746 8.950
angles (deg): 90.00 90.00 90.00
Fractional coordinates of all 6 atoms:
1 Ca 0.500 0.000 0.152
2 Ca 0.000 0.500 0.848
3 Th 0.500 0.500 0.500
4 Th 0.000 0.000 0.500
5 Bi 0.500 0.000 0.782
6 Bi 0.000 0.500 0.218

## Properties
DFT total energy: -4.9805 eV/atom
calculated density: 7.9 g/cm³
symmetry: P4/nmm

***

6.
The following is a PBE-GGA calculation of an optimized crystal structure of CaTh6Bi8, from the Alexandria database.

a b c (Å): 8.550 8.550 8.550
angles (deg): 68.80 68.80 68.80
Fractional coordinates of all 15 atoms:
1 Th 0.463 0.698 0.069
2 Th 0.069 0.463 0.698
3 Th 0.537 0.302 0.931
4 Th 0.698 0.069 0.463
5 Th 0.302 0.931 0.537
6 Th 0.931 0.537 0.302
7 Bi 0.664 0.664 0.664
8 Bi 0.811 0.363 0.099
9 Bi 0.363 0.099 0.811
10 Bi 0.189 0.637 0.901
11 Bi 0.901 0.189 0.637
12 Bi 0.336 0.336 0.336
13 Bi 0.637 0.901 0.189
14 Bi 0.099 0.811 0.363
15 Ca 0.000 0.000 0.000

## Properties
DFT total energy: -5.7056 eV/atom
calculated density: 9.8 g/cm³
symmetry: R-3

***

7.
The following is a PBE-GGA calculation of an optimized crystal structure of CaTh2Bi3, from the Alexandria database.

a b c (Å): 4.612 6.506 7.965
angles (deg): 114.11 106.83 90.00
Fractional coordinates of all 6 atoms:
1 Bi 0.500 0.000 0.500
2 Bi 0.833 0.333 0.167
3 Bi 0.167 0.667 0.833
4 Ca 0.500 0.500 0.500
5 Th 0.834 0.834 0.168
6 Th 0.166 0.166 0.832

## Properties
DFT total energy: -5.4399 eV/atom
calculated density: 9.1 g/cm³
symmetry: Immm

***

8.
The following is a PBE-GGA calculation of an optimized crystal structure of Ca3Th5Bi8, from the Alexandria database.

a b c (Å): 9.217 9.217 9.209
angles (deg): 59.97 59.97 60.00
Fractional coordinates of all 16 atoms:
1 Th 0.500 0.500 0.000
2 Th 0.000 0.000 0.000
3 Th 0.000 0.500 0.000
4 Th 0.500 0.500 0.500
5 Th 0.500 0.000 0.000
6 Bi 0.250 0.250 0.749
7 Bi 0.749 0.749 0.753
8 Bi 0.750 0.249 0.251
9 Bi 0.751 0.250 0.749
10 Bi 0.249 0.750 0.251
11 Bi 0.251 0.251 0.247
12 Bi 0.750 0.750 0.251
13 Bi 0.250 0.751 0.749
14 Ca 0.500 0.000 0.500
15 Ca 0.000 0.000 0.500
16 Ca 0.000 0.500 0.500

## Properties
DFT total energy: -5.3441 eV/atom
calculated density: 8.9 g/cm³
symmetry: R-3m